First-principles (PBE) data for a geometry-optimized Rb2ZnPF6 structure, as listed in Alexandria.

## Properties
Spin magnetization, μB/cell: 1.0
Raw formation energy, eV per atom: -2.218

Unit cell a=5.8247 b=5.8247 c=6.5792 alpha=63.73 beta=63.73 gamma=90.00
With the nearest neighbours (Å) after each atom.
Fractional positions:
P 0.5000 0.5000 0.0000  4 F 1.95
Zn 0.0000 0.0000 0.0000  2 F 1.93
Rb 0.7500 0.2500 0.5000  12 F 2.98-3.29
Rb 0.2500 0.7500 0.5000  12 F 2.98-3.29
F 0.1877 0.1877 0.6246  1 Zn 1.93
F 0.8123 0.8123 0.3754  1 Zn 1.93
F 0.2639 0.2639 0.0000  1 P 1.95, 1 Zn 2.17
F 0.7361 0.7361 0.0000  1 P 1.95, 1 Zn 2.17
F 0.7361 0.2639 0.0000  1 P 1.95, 1 Zn 2.17
F 0.2639 0.7361 0.0000  1 P 1.95, 1 Zn 2.17



First-principles (PBE) data for a geometry-optimized ZnGeAsO6 structure, as listed in Alexandria.

## Properties
Spin magnetization, μB/cell: 2.1
Raw formation energy, eV per atom: -1.204

Unit cell a=4.9486 b=4.9486 c=8.9061 alpha=90.00 beta=90.00 gamma=120.00
With the nearest neighbours (Å) after each atom.
Fractional positions:
Zn 0.0000 0.0000 0.0000  6 O 2.15
Zn 0.0000 0.0000 0.5000  6 O 2.15
Ge 0.6667 0.3333 0.2500  6 O 1.92
Ge 0.3333 0.6667 0.7500  6 O 1.92
As 0.3333 0.6667 0.2500  6 O 1.86
As 0.6667 0.3333 0.7500  6 O 1.86
O 0.6374 0.6456 0.1357  1 As 1.86, 1 Ge 1.92
O 0.0082 0.3626 0.1357  1 As 1.86, 1 Ge 1.92
O 0.3626 0.0082 0.6357  1 As 1.86, 1 Ge 1.92
O 0.9918 0.6374 0.8643  1 As 1.86, 1 Ge 1.92
O 0.3544 0.3626 0.3643  1 As 1.86, 1 Ge 1.92
O 0.0082 0.6456 0.3643  1 As 1.86, 1 Ge 1.92
O 0.6456 0.0082 0.8643  1 As 1.86, 1 Ge 1.92
O 0.6374 0.9918 0.3643  1 As 1.86, 1 Ge 1.92
O 0.9918 0.3544 0.6357  1 As 1.86, 1 Ge 1.92
O 0.3544 0.9918 0.1357  1 As 1.86, 1 Ge 1.92
O 0.6456 0.6374 0.6357  1 As 1.86, 1 Ge 1.92
O 0.3626 0.3544 0.8643  1 As 1.86, 1 Ge 1.92